Entry 1:
A plane-wave DFT calculation with PBE was carried out for an optimized crystal structure of PmTlBi2O6.

Cell: 6.2238 6.2238 6.2238 Å, 58.68 58.68 58.68°
With the nearest neighbours (Å) after each atom.
Fractional positions:
Pm 0.0000 0.0000 0.0000  6 O 2.30-2.45
Tl 0.4995 0.4995 0.4995  6 O 2.26-2.44
Bi 0.2848 0.2848 0.2848  6 O 2.29-2.56
Bi 0.7818 0.7818 0.7818  6 O 2.33-2.49
O 0.1166 0.6697 0.3691  2 Bi 2.29-2.49, 1 Pm 2.30, 1 Tl 2.44
O 0.1766 0.6220 0.8570  1 Tl 2.26, 1 Bi 2.33, 1 Pm 2.45
O 0.3691 0.1166 0.6697  2 Bi 2.29-2.49, 1 Pm 2.30, 1 Tl 2.44
O 0.6220 0.8570 0.1766  1 Tl 2.26, 1 Bi 2.33, 1 Pm 2.45
O 0.6697 0.3691 0.1166  2 Bi 2.29-2.49, 1 Pm 2.30, 1 Tl 2.44
O 0.8570 0.1766 0.6220  1 Tl 2.26, 1 Bi 2.33, 1 Pm 2.45

Summary:
VASP energy in eV per atom: -6.06
Formation energy without anion corrections in eV/atom: -1.601

---

Entry 2:
A plane-wave DFT calculation with PBE was carried out for an optimized crystal structure of PmTmBi2O6.

Cell: 6.1839 6.1839 6.1839 Å, 58.67 58.67 58.67°
With the nearest neighbours (Å) after each atom.
Fractional positions:
Pm 0.0000 0.0000 0.0000  6 O 2.30-2.45
Tm 0.5056 0.5056 0.5056  6 O 2.22-2.32
Bi 0.2160 0.2160 0.2160  6 O 2.33-2.51
Bi 0.7179 0.7179 0.7179  6 O 2.31-2.54
O 0.1516 0.3781 0.8126  1 Tm 2.22, 1 Bi 2.33, 1 Pm 2.45
O 0.3298 0.8730 0.6327  1 Pm 2.30, 2 Bi 2.31-2.51, 1 Tm 2.32
O 0.3781 0.8126 0.1516  1 Tm 2.22, 1 Bi 2.33, 1 Pm 2.45
O 0.6327 0.3298 0.8730  1 Pm 2.30, 2 Bi 2.31-2.51, 1 Tm 2.32
O 0.8126 0.1516 0.3781  1 Tm 2.22, 1 Bi 2.33, 1 Pm 2.45
O 0.8730 0.6327 0.3298  1 Pm 2.30, 2 Bi 2.31-2.51, 1 Tm 2.32

Summary:
VASP energy in eV per atom: -7.02
Formation energy without anion corrections in eV/atom: -2.349

---

Entry 3:
A plane-wave DFT calculation with PBE was carried out for an optimized crystal structure of Pm2TmBi2O2.

Cell: 4.3442 4.3442 16.8278 Å, 90.00 90.00 90.00°
With the nearest neighbours (Å) after each atom.
Fractional positions:
Pm 0.0000 0.0000 0.1091  4 O 2.84
Pm 0.0000 0.0000 0.8909  4 O 2.84
Pm 0.5000 0.5000 0.3909  4 O 2.84
Pm 0.5000 0.5000 0.6091  4 O 2.84
Tm 0.0000 0.0000 0.5000  4 O 2.17
Tm 0.5000 0.5000 0.0000  4 O 2.17
Bi 0.0000 0.0000 0.3104  1 Tm 3.19, 5 Pm 3.36-3.39
Bi 0.0000 0.0000 0.6896  1 Tm 3.19, 5 Pm 3.36-3.39
Bi 0.5000 0.5000 0.1896  1 Tm 3.19, 5 Pm 3.36-3.39
Bi 0.5000 0.5000 0.8104  1 Tm 3.19, 5 Pm 3.36-3.39
O 0.0000 0.5000 0.0000  2 Tm 2.17
O 0.0000 0.5000 0.5000  2 Tm 2.17
O 0.5000 0.0000 0.0000  2 Tm 2.17
O 0.5000 0.0000 0.5000  2 Tm 2.17

Summary:
VASP energy in eV per atom: -6.41
Formation energy without anion corrections in eV/atom: -1.888

---

Entry 4:
A plane-wave DFT calculation with PBE was carried out for an optimized crystal structure of Pm2UBiO8.

Cell: 5.4938 3.8366 7.9039 Å, 90.00 94.25 90.00°
With the nearest neighbours (Å) after each atom.
Fractional positions:
Pm 0.0104 0.0000 0.2459  8 O 2.40-2.49
Pm 0.9896 0.0000 0.7541  8 O 2.40-2.49
U 0.5000 0.5000 0.0000  2 O 2.03
Bi 0.5000 0.5000 0.5000  6 O 2.30-2.35
O 0.2563 0.5000 0.7932  1 U 2.03
O 0.2583 0.0000 0.5223  2 Bi 2.35, 2 Pm 2.44-2.49
O 0.2717 0.5000 0.2447  1 Bi 2.30, 1 U 2.38, 2 Pm 2.40
O 0.2740 0.0000 0.0129  2 U 2.29, 2 Pm 2.43-2.48, 1 O 2.51
O 0.7260 0.0000 0.9871  2 U 2.29, 2 Pm 2.43-2.48, 1 O 2.51
O 0.7283 0.5000 0.7553  1 Bi 2.30, 1 U 2.38, 2 Pm 2.40
O 0.7417 0.0000 0.4777  2 Bi 2.35, 2 Pm 2.44-2.49
O 0.7437 0.5000 0.2068  1 U 2.03

Summary:
VASP energy in eV per atom: -8.11
Formation energy without anion corrections in eV/atom: -2.745

---

Entry 5:
A plane-wave DFT calculation with PBE was carried out for an optimized crystal structure of PmUBiO6.

Cell: 5.9545 5.9545 9.4288 Å, 90.00 90.00 120.00°
With the nearest neighbours (Å) after each atom.
Fractional positions:
Pm 0.3333 0.6667 0.2500  6 O 2.36
Pm 0.6667 0.3333 0.7500  6 O 2.36
U 0.3333 0.6667 0.7500  6 O 2.10
U 0.6667 0.3333 0.2500  6 O 2.10
Bi 0.0000 0.0000 0.0000  6 O 2.43
Bi 0.0000 0.0000 0.5000  6 O 2.43
O 0.0327 0.3643 0.6343  1 U 2.10
O 0.0327 0.6685 0.8657  1 U 2.10
O 0.3315 0.3643 0.8657  1 U 2.10
O 0.3315 0.9673 0.6343  1 U 2.10
O 0.3643 0.0327 0.1343  1 U 2.10
O 0.3643 0.3315 0.3657  1 U 2.10
O 0.6357 0.6685 0.6343  1 U 2.10
O 0.6357 0.9673 0.8657  1 U 2.10
O 0.6685 0.0327 0.3657  1 U 2.10
O 0.6685 0.6357 0.1343  1 U 2.10
O 0.9673 0.3315 0.1343  1 U 2.10
O 0.9673 0.6357 0.3657  1 U 2.10

Summary:
VASP energy in eV per atom: -8.17
Formation energy without anion corrections in eV/atom: -2.647